# CrAsO2, optimized geometry, DFT GGA-PBEsol
# total magnetization: 0.7451 μB/atom
# VASP energy: -93.54 eV for the cell shown
# D(E_F): 0.110 states/eV per atom
data_CrAsO2
_chemical_formula_sum 'Cr3 As3 O6'
_space_group_name_H-M_alt 'R -3 m'
_space_group_IT_number 166
_space_group_name_Hall '-R 3 2"'
_cell_length_a 2.9611
_cell_length_b 2.9611
_cell_length_c 18.7078
_cell_angle_alpha 90.00
_cell_angle_beta 90.00
_cell_angle_gamma 120.00
loop_
_atom_site_label
_atom_site_fract_x
_atom_site_fract_y
_atom_site_fract_z
Cr1 0.0000 0.0000 0.0000
As1 0.0000 0.0000 0.5000
O1 0.0000 0.0000 0.3866